Record 1
# BaSr2AsN, optimized geometry, DFT GGA-PBE
# **Crystal system**: tetragonal
# **Calculated volume**: 29.026 Å³/atom
# **Magnetization**: 0.00 μB per atom
# **Raw formation energy**: -0.789 eV/atom
# **Total energy**: -22.21 eV per cell
data_BaSr2AsN
_chemical_formula_sum 'Ba1 Sr2 As1 N1'
_space_group_name_H-M_alt 'P 1'
_space_group_IT_number 1
_cell_length_a 5.154
_cell_length_b 5.154
_cell_length_c 5.464
_cell_angle_alpha 90.00
_cell_angle_beta 90.00
_cell_angle_gamma 90.00
loop_
_space_group_symop_operation_xyz
'x,y,z'
loop_
_atom_site_label
_atom_site_fract_x
_atom_site_fract_y
_atom_site_fract_z
_atom_site_occupancy
Sr1 0.000 0.500 0.000 1
Sr2 0.500 0.000 0.000 1
As1 0.500 0.500 0.500 1
Ba1 0.000 0.000 0.500 1
N1 0.000 0.000 0.000 1

=====

Record 2
# DyEr2PuBi4, optimized geometry, DFT GGA-PBE
# **Crystal system**: monoclinic
# **Calculated volume**: 31.791 Å³/atom
# **Magnetization**: 0.65 μB per atom
# **E_form**: -0.696 eV per atom
# **Total energy**: -49.16 eV per cell
data_DyEr2PuBi4
_chemical_formula_sum 'Dy1 Er2 Pu1 Bi4'
_space_group_name_H-M_alt 'P 1'
_space_group_IT_number 1
_cell_length_a 4.481
_cell_length_b 7.759
_cell_length_c 7.755
_cell_angle_alpha 109.41
_cell_angle_beta 90.00
_cell_angle_gamma 90.00
loop_
_space_group_symop_operation_xyz
'x,y,z'
loop_
_atom_site_label
_atom_site_fract_x
_atom_site_fract_y
_atom_site_fract_z
_atom_site_occupancy
Dy1 0.000 0.000 0.000 1
Er1 0.500 0.000 0.500 1
Er2 0.000 0.500 0.500 1
Pu1 0.500 0.500 0.000 1
Bi1 0.500 0.250 0.253 1
Bi2 0.500 0.750 0.747 1
Bi3 0.000 0.247 0.746 1
Bi4 0.000 0.753 0.254 1

=====

Record 3
# SrTl2Re, optimized geometry, DFT GGA-PBE
# **Crystal system**: tetragonal
# **Calculated volume**: 25.118 Å³/atom
# **Excess energy over the best structure of this formula in the dataset**: 0.97 eV per formula unit
# **Magnetization**: 0.33 μB per atom
# **E_form**: 0.814 eV per atom
# **Total energy**: -15.61 eV per cell
data_SrTl2Re
_chemical_formula_sum 'Sr1 Tl2 Re1'
_space_group_name_H-M_alt 'P 1'
_space_group_IT_number 1
_cell_length_a 5.878
_cell_length_b 5.878
_cell_length_c 5.878
_cell_angle_alpha 134.86
_cell_angle_beta 134.86
_cell_angle_gamma 65.74
loop_
_space_group_symop_operation_xyz
'x,y,z'
loop_
_atom_site_label
_atom_site_fract_x
_atom_site_fract_y
_atom_site_fract_z
_atom_site_occupancy
Re1 0.500 0.500 0.000 1
Sr1 0.750 0.250 0.500 1
Tl1 0.000 0.000 0.000 1
Tl2 0.250 0.750 0.500 1

=====

Record 4
# CdAg2Hg, optimized geometry, DFT GGA-PBE
# **Crystal system**: orthorhombic
# **Calculated volume**: 20.407 Å³/atom
# **Excess energy over the best structure of this formula in the dataset**: 0.12 eV per formula unit
# **Magnetization**: 0.00 μB per atom
# **E_form**: 0.037 eV per atom
# **Total energy**: -27.09 eV per cell
data_CdAg2Hg
_chemical_formula_sum 'Cd4 Ag8 Hg4'
_space_group_name_H-M_alt 'P 1'
_space_group_IT_number 1
_cell_length_a 7.896
_cell_length_b 5.083
_cell_length_c 8.135
_cell_angle_alpha 90.00
_cell_angle_beta 90.00
_cell_angle_gamma 90.00
loop_
_space_group_symop_operation_xyz
'x,y,z'
loop_
_atom_site_label
_atom_site_fract_x
_atom_site_fract_y
_atom_site_fract_z
_atom_site_occupancy
Cd1 0.881 0.313 0.354 1
Cd2 0.381 0.687 0.646 1
Cd3 0.381 0.187 0.854 1
Cd4 0.881 0.813 0.146 1
Ag1 0.188 0.656 0.967 1
Ag2 0.688 0.344 0.033 1
Ag3 0.688 0.844 0.467 1
Ag4 0.188 0.156 0.533 1
Ag5 0.686 0.841 0.832 1
Ag6 0.186 0.159 0.168 1
Ag7 0.186 0.659 0.332 1
Ag8 0.686 0.341 0.668 1
Hg1 0.994 0.185 0.858 1
Hg2 0.494 0.815 0.142 1
Hg3 0.494 0.315 0.358 1
Hg4 0.994 0.685 0.642 1

=====

Record 5
# Y4Cd3Ru, optimized geometry, DFT GGA-PBE
# **Crystal system**: tetragonal
# **Calculated volume**: 24.695 Å³/atom
# **Magnetization**: 0.03 μB per atom
# **E_form**: -0.362 eV per atom
# **Total energy**: -40.77 eV per cell
data_Y4Cd3Ru
_chemical_formula_sum 'Y4 Cd3 Ru1'
_space_group_name_H-M_alt 'P 1'
_space_group_IT_number 1
_cell_length_a 3.560
_cell_length_b 3.560
_cell_length_c 15.589
_cell_angle_alpha 90.00
_cell_angle_beta 90.00
_cell_angle_gamma 90.00
loop_
_space_group_symop_operation_xyz
'x,y,z'
loop_
_atom_site_label
_atom_site_fract_x
_atom_site_fract_y
_atom_site_fract_z
_atom_site_occupancy
Y1 0.000 0.000 0.896 1
Y2 0.000 0.000 0.104 1
Y3 0.000 0.000 0.370 1
Y4 0.000 0.000 0.630 1
Ru1 0.500 0.500 0.000 1
Cd1 0.500 0.500 0.242 1
Cd2 0.500 0.500 0.500 1
Cd3 0.500 0.500 0.758 1

=====

Record 6
# KLiTiS3, optimized geometry, DFT GGA-PBE
# **Crystal system**: orthorhombic
# **Calculated volume**: 23.055 Å³/atom
# **Magnetization**: 0.00 μB per atom
# **Raw formation energy**: -1.350 eV/atom
# **Total energy**: -62.78 eV per cell
data_KLiTiS3
_chemical_formula_sum 'K2 Li2 Ti2 S6'
_space_group_name_H-M_alt 'P 1'
_space_group_IT_number 1
_cell_length_a 6.556
_cell_length_b 6.748
_cell_length_c 7.106
_cell_angle_alpha 118.35
_cell_angle_beta 90.00
_cell_angle_gamma 90.00
loop_
_space_group_symop_operation_xyz
'x,y,z'
loop_
_atom_site_label
_atom_site_fract_x
_atom_site_fract_y
_atom_site_fract_z
_atom_site_occupancy
K1 0.750 0.260 0.519 1
K2 0.250 0.740 0.481 1
Li1 0.250 0.430 0.859 1
Li2 0.750 0.570 0.141 1
Ti1 0.250 0.057 0.114 1
Ti2 0.750 0.943 0.886 1
S1 0.250 0.234 0.468 1
S2 0.000 0.239 0.000 1
S3 0.500 0.761 0.000 1
S4 0.500 0.239 0.000 1
S5 0.000 0.761 0.000 1
S6 0.750 0.766 0.532 1

=====

Repeat the first record exactly.
# BaSr2AsN, optimized geometry, DFT GGA-PBE
# **Crystal system**: tetragonal
# **Calculated volume**: 29.026 Å³/atom
# **Magnetization**: 0.00 μB per atom
# **Raw formation energy**: -0.789 eV/atom
# **Total energy**: -22.21 eV per cell
data_BaSr2AsN
_chemical_formula_sum 'Ba1 Sr2 As1 N1'
_space_group_name_H-M_alt 'P 1'
_space_group_IT_number 1
_cell_length_a 5.154
_cell_length_b 5.154
_cell_length_c 5.464
_cell_angle_alpha 90.00
_cell_angle_beta 90.00
_cell_angle_gamma 90.00
loop_
_space_group_symop_operation_xyz
'x,y,z'
loop_
_atom_site_label
_atom_site_fract_x
_atom_site_fract_y
_atom_site_fract_z
_atom_site_occupancy
Sr1 0.000 0.500 0.000 1
Sr2 0.500 0.000 0.000 1
As1 0.500 0.500 0.500 1
Ba1 0.000 0.000 0.500 1
N1 0.000 0.000 0.000 1